# 1
The following is a PBE-GGA calculation of an optimized crystal structure of K2HgRh, from Alexandria via LeMat-Bulk.

Calculated values
The total energy comes out at -8.8 eV for the cell shown. Its density of states at the Fermi level is 0.51 states/eV/atom.

Structure (POSCAR):
```
K2HgRh
1.0
6.428 -1.844 0.000
6.428 1.844 0.000
-2.480 0.000 5.123
K Hg Rh
2 1 1
Cartesian
0.000 0.000 0.000
0.862 0.000 3.573
4.325 0.000 2.139
9.013 0.000 1.234
```

# 2
The following is a PBE-GGA calculation of an optimized crystal structure of ZrCo2Tc2, from Alexandria via LeMat-Bulk.

Calculated values
The distance to the lowest polymorph of the same formula is 0.117 eV/atom. Its density of states at the Fermi level is 0.66 states/eV/atom.

Structure (POSCAR):
```
ZrCo2Tc2
1.0
-1.946 1.946 5.183
1.946 -1.946 5.183
1.946 1.946 -5.183
Zr Co Tc
1 2 2
Cartesian
0.000 0.000 0.000
1.946 0.000 2.591
0.000 1.946 2.591
0.000 0.000 4.022
0.000 0.000 6.344
```

# 3
The following is a PBE-GGA calculation of an optimized crystal structure of CaTa2Co, from Alexandria via LeMat-Bulk.

Calculated values
The distance to the lowest polymorph of the same formula is 0.334 eV/atom. Its density of states at the Fermi level is 1.23 states/eV/atom.

Structure (POSCAR):
```
CaTa2Co
1.0
-1.586 2.467 4.723
1.586 -2.467 4.723
1.586 2.467 -4.723
Ca Ta Co
1 2 1
Cartesian
0.000 0.000 0.000
0.000 0.000 4.040
0.000 2.467 1.981
1.586 0.000 2.279
```

# 4
The following is a PBE-GGA calculation of an optimized crystal structure of MgMn2Ni, from Alexandria via LeMat-Bulk.

Calculated values
The total energy comes out at -25.1 eV for the cell shown. Its density of states at the Fermi level is 0.66 states/eV/atom.

Structure (POSCAR):
```
MgMn2Ni
1.0
2.987 0.000 0.000
0.000 2.987 0.000
0.000 0.000 6.719
Mg Mn Ni
1 2 1
Cartesian
0.000 0.000 0.000
1.494 1.494 1.946
1.494 1.494 4.773
0.000 0.000 3.360
```